P:
# PBE RbLiCu2H3S2O10, optimized geometry
data_RbLiCu2H3S2O10
_cell_length_a 6.348
_cell_length_b 6.480
_cell_length_c 7.670
_cell_angle_alpha 68.09
_cell_angle_beta 74.47
_cell_angle_gamma 68.56
_symmetry_space_group_name_H-M 'P 1'
_symmetry_Int_Tables_number 1
loop_
_symmetry_equiv_pos_as_xyz
'x,y,z'
loop_
_atom_site_label
_atom_site_type_symbol
_atom_site_fract_x
_atom_site_fract_y
_atom_site_fract_z
Rb1 Rb 0.000 0.000 0.000
Li1 Li 0.400 0.035 0.503
Cu1 Cu 0.902 0.009 0.518
Cu2 Cu 0.955 0.502 0.452
H1 H 0.538 0.167 0.710
H2 H 0.596 0.425 0.463
H3 H 0.629 0.612 0.255
S1 S 0.355 0.346 0.063
S2 S 0.544 0.599 0.889
O1 O 0.053 0.185 0.537
O2 O 0.133 0.490 0.136
O3 O 0.337 0.242 0.929
O4 O 0.390 0.765 0.751
O5 O 0.495 0.180 0.212
O6 O 0.567 0.701 0.022
O7 O 0.586 0.166 0.577
O8 O 0.637 0.578 0.391
O9 O 0.760 0.462 0.805
O10 O 0.976 0.780 0.423
# total moment = 1.93 μB per cell
# density = 2.755 Mg/m³

=====

Q:
# PBE RbLiCu2H3S2O10, optimized geometry
data_RbLiCu2H3S2O10
_cell_length_a 5.588
_cell_length_b 6.256
_cell_length_c 7.829
_cell_angle_alpha 69.49
_cell_angle_beta 81.02
_cell_angle_gamma 64.95
_symmetry_space_group_name_H-M 'P 1'
_symmetry_Int_Tables_number 1
loop_
_symmetry_equiv_pos_as_xyz
'x,y,z'
loop_
_atom_site_label
_atom_site_type_symbol
_atom_site_fract_x
_atom_site_fract_y
_atom_site_fract_z
Rb1 Rb 0.000 0.000 0.000
Li1 Li 0.690 0.639 0.760
Cu1 Cu 0.016 0.022 0.483
Cu2 Cu 0.144 0.472 0.424
H1 H 0.321 0.169 0.263
H2 H 0.543 0.034 0.502
H3 H 0.621 0.102 0.661
S1 S 0.286 0.481 0.793
S2 S 0.647 0.572 0.205
O1 O 0.096 0.442 0.699
O2 O 0.235 0.754 0.723
O3 O 0.246 0.395 0.990
O4 O 0.294 0.138 0.395
O5 O 0.374 0.655 0.286
O6 O 0.565 0.346 0.739
O7 O 0.629 0.686 0.004
O8 O 0.688 0.973 0.598
O9 O 0.772 0.294 0.254
O10 O 0.803 0.663 0.279
# total moment = 1.02 μB per cell
# density = 3.194 Mg/m³

=====

The winner here is Q, beating the second structure by 16.0 kJ/mol of atoms.

=====

P:
# PBE Li2CuHPt, optimized geometry
data_Li2CuHPt
_cell_length_a 3.808
_cell_length_b 3.808
_cell_length_c 3.793
_cell_angle_alpha 90.00
_cell_angle_beta 90.00
_cell_angle_gamma 90.00
_symmetry_space_group_name_H-M 'P 4/m m m'
_symmetry_Int_Tables_number 123
_symmetry_space_group_name_Hall '-P 4 2'
loop_
_atom_site_label
_atom_site_type_symbol
_atom_site_fract_x
_atom_site_fract_y
_atom_site_fract_z
Li1 Li 0.000 0.500 0.000
Cu1 Cu 0.000 0.000 0.500
H1 H 0.500 0.500 0.000
Pt1 Pt 0.500 0.500 0.500
# total moment = 0.00 μB per cell
# density = 8.255 Mg/m³

=====

Q:
# PBE Li2CuHPt, optimized geometry
data_Li2CuHPt
_cell_length_a 3.844
_cell_length_b 3.844
_cell_length_c 3.626
_cell_angle_alpha 90.00
_cell_angle_beta 90.00
_cell_angle_gamma 90.00
_symmetry_space_group_name_H-M 'P 4/m m m'
_symmetry_Int_Tables_number 123
_symmetry_space_group_name_Hall '-P 4 2'
loop_
_atom_site_label
_atom_site_type_symbol
_atom_site_fract_x
_atom_site_fract_y
_atom_site_fract_z
Li1 Li 0.000 0.500 0.000
Cu1 Cu 0.000 0.000 0.500
H1 H 0.000 0.000 0.000
Pt1 Pt 0.500 0.500 0.500
# total moment = 0.00 μB per cell
# density = 8.478 Mg/m³

=====

The winner here is P, beating the second structure by 6.5 kJ/mol of atoms.

=====

P:
# PBE LiCu2HPt, optimized geometry
data_LiCu2HPt
_cell_length_a 3.671
_cell_length_b 3.671
_cell_length_c 3.944
_cell_angle_alpha 90.00
_cell_angle_beta 90.00
_cell_angle_gamma 90.00
_symmetry_space_group_name_H-M 'P 4/m m m'
_symmetry_Int_Tables_number 123
_symmetry_space_group_name_Hall '-P 4 2'
loop_
_atom_site_label
_atom_site_type_symbol
_atom_site_fract_x
_atom_site_fract_y
_atom_site_fract_z
Li1 Li 0.000 0.000 0.000
Cu1 Cu 0.000 0.500 0.500
H1 H 0.000 0.000 0.500
Pt1 Pt 0.500 0.500 0.000
# total moment = 0.00 μB per cell
# density = 10.312 Mg/m³

=====

Q:
# PBE LiCu2HPt, optimized geometry
data_LiCu2HPt
_cell_length_a 3.823
_cell_length_b 3.823
_cell_length_c 3.774
_cell_angle_alpha 90.00
_cell_angle_beta 90.00
_cell_angle_gamma 90.00
_symmetry_space_group_name_H-M 'P 4/m m m'
_symmetry_Int_Tables_number 123
_symmetry_space_group_name_Hall '-P 4 2'
loop_
_atom_site_label
_atom_site_type_symbol
_atom_site_fract_x
_atom_site_fract_y
_atom_site_fract_z
Li1 Li 0.000 0.000 0.000
Cu1 Cu 0.000 0.500 0.500
H1 H 0.500 0.500 0.500
Pt1 Pt 0.500 0.500 0.000
# total moment = 0.00 μB per cell
# density = 9.939 Mg/m³

=====

The winner here is Q, beating the second structure by 0.7 kJ/mol of atoms.

=====

P:
# PBE Sr2LiCuH, optimized geometry
data_Sr2LiCuH
_cell_length_a 5.510
_cell_length_b 5.510
_cell_length_c 3.922
_cell_angle_alpha 90.00
_cell_angle_beta 90.00
_cell_angle_gamma 90.00
_symmetry_space_group_name_H-M 'P 4/m m m'
_symmetry_Int_Tables_number 123
_symmetry_space_group_name_Hall '-P 4 2'
loop_
_atom_site_label
_atom_site_type_symbol
_atom_site_fract_x
_atom_site_fract_y
_atom_site_fract_z
Sr1 Sr 0.000 0.500 0.000
Li1 Li 0.000 0.000 0.500
Cu1 Cu 0.500 0.500 0.500
H1 H 0.500 0.500 0.000
# total moment = 0.00 μB per cell
# density = 3.441 Mg/m³

=====

Q:
# PBE Sr2LiCuH, optimized geometry
data_Sr2LiCuH
_cell_length_a 5.278
_cell_length_b 5.278
_cell_length_c 3.977
_cell_angle_alpha 90.00
_cell_angle_beta 90.00
_cell_angle_gamma 90.00
_symmetry_space_group_name_H-M 'P 4/m m m'
_symmetry_Int_Tables_number 123
_symmetry_space_group_name_Hall '-P 4 2'
loop_
_atom_site_label
_atom_site_type_symbol
_atom_site_fract_x
_atom_site_fract_y
_atom_site_fract_z
Sr1 Sr 0.000 0.500 0.000
Li1 Li 0.000 0.000 0.500
Cu1 Cu 0.500 0.500 0.500
H1 H 0.000 0.000 0.000
# total moment = 0.00 μB per cell
# density = 3.698 Mg/m³

=====

The winner here is Q, beating the second structure by 6.5 kJ/mol of atoms.

=====

P:
# PBE Li2ZnCuH, optimized geometry
data_Li2ZnCuH
_cell_length_a 3.749
_cell_length_b 3.749
_cell_length_c 4.024
_cell_angle_alpha 90.00
_cell_angle_beta 90.00
_cell_angle_gamma 90.00
_symmetry_space_group_name_H-M 'P 4/m m m'
_symmetry_Int_Tables_number 123
_symmetry_space_group_name_Hall '-P 4 2'
loop_
_atom_site_label
_atom_site_type_symbol
_atom_site_fract_x
_atom_site_fract_y
_atom_site_fract_z
Li1 Li 0.000 0.500 0.000
Zn1 Zn 0.000 0.000 0.500
Cu1 Cu 0.500 0.500 0.500
H1 H 0.000 0.000 0.000
# total moment = 0.00 μB per cell
# density = 4.224 Mg/m³

=====

Q:
# PBE Li2ZnCuH, optimized geometry
data_Li2ZnCuH
_cell_length_a 4.038
_cell_length_b 4.038
_cell_length_c 3.480
_cell_angle_alpha 90.00
_cell_angle_beta 90.00
_cell_angle_gamma 90.00
_symmetry_space_group_name_H-M 'P 4/m m m'
_symmetry_Int_Tables_number 123
_symmetry_space_group_name_Hall '-P 4 2'
loop_
_atom_site_label
_atom_site_type_symbol
_atom_site_fract_x
_atom_site_fract_y
_atom_site_fract_z
Li1 Li 0.000 0.500 0.000
Zn1 Zn 0.000 0.000 0.500
Cu1 Cu 0.500 0.500 0.500
H1 H 0.500 0.500 0.000
# total moment = 0.00 μB per cell
# density = 4.209 Mg/m³

=====

The winner here is Q, beating the second structure by 4.6 kJ/mol of atoms.

=====

P:
# PBE Mg2CuH, optimized geometry
data_Mg2CuH
_cell_length_a 5.944
_cell_length_b 5.944
_cell_length_c 6.704
_cell_angle_alpha 90.00
_cell_angle_beta 90.00
_cell_angle_gamma 90.00
_symmetry_space_group_name_H-M 'I -4 2 d'
_symmetry_Int_Tables_number 122
_symmetry_space_group_name_Hall 'I -4 2bw'
loop_
_atom_site_label
_atom_site_type_symbol
_atom_site_fract_x
_atom_site_fract_y
_atom_site_fract_z
Mg1 Mg 0.168 0.250 0.125
Cu1 Cu 0.000 0.000 0.500
H1 H 0.000 0.000 0.000
# total moment = 0.00 μB per cell
# density = 3.174 Mg/m³

=====

Q:
# PBE Mg2CuH, optimized geometry
data_Mg2CuH
_cell_length_a 6.221
_cell_length_b 6.221
_cell_length_c 6.221
_cell_angle_alpha 90.00
_cell_angle_beta 90.00
_cell_angle_gamma 90.00
_symmetry_space_group_name_H-M 'F m -3 m'
_symmetry_Int_Tables_number 225
_symmetry_space_group_name_Hall '-F 4 2 3'
loop_
_atom_site_label
_atom_site_type_symbol
_atom_site_fract_x
_atom_site_fract_y
_atom_site_fract_z
Mg1 Mg 0.250 0.250 0.250
Cu1 Cu 0.000 0.000 0.000
H1 H 0.000 0.000 0.500
# total moment = 0.00 μB per cell
# density = 3.121 Mg/m³

=====

The winner here is P, beating the second structure by 17.5 kJ/mol of atoms.

=====

P:
# PBE MgCu3H, optimized geometry
data_MgCu3H
_cell_length_a 4.739
_cell_length_b 4.739
_cell_length_c 4.739
_cell_angle_alpha 90.00
_cell_angle_beta 90.00
_cell_angle_gamma 90.00
_symmetry_space_group_name_H-M 'P m -3 m'
_symmetry_Int_Tables_number 221
_symmetry_space_group_name_Hall '-P 4 2 3'
loop_
_atom_site_label
_atom_site_type_symbol
_atom_site_fract_x
_atom_site_fract_y
_atom_site_fract_z
Mg1 Mg 0.000 0.000 0.000
Cu1 Cu 0.000 0.000 0.500
H1 H 0.500 0.500 0.500
# total moment = 0.85 μB per cell
# density = 3.370 Mg/m³

=====

Q:
# PBE MgCu3H, optimized geometry
data_MgCu3H
_cell_length_a 3.830
_cell_length_b 3.830
_cell_length_c 3.830
_cell_angle_alpha 90.00
_cell_angle_beta 90.00
_cell_angle_gamma 90.00
_symmetry_space_group_name_H-M 'P m -3 m'
_symmetry_Int_Tables_number 221
_symmetry_space_group_name_Hall '-P 4 2 3'
loop_
_atom_site_label
_atom_site_type_symbol
_atom_site_fract_x
_atom_site_fract_y
_atom_site_fract_z
Mg1 Mg 0.000 0.000 0.000
Cu1 Cu 0.000 0.500 0.500
H1 H 0.500 0.500 0.500
# total moment = 0.00 μB per cell
# density = 6.385 Mg/m³

=====

The winner here is Q, beating the second structure by 136.8 kJ/mol of atoms.

=====

P:
# PBE MgCuHPd2, optimized geometry
data_MgCuHPd2
_cell_length_a 4.067
_cell_length_b 4.067
_cell_length_c 3.725
_cell_angle_alpha 90.00
_cell_angle_beta 90.00
_cell_angle_gamma 90.00
_symmetry_space_group_name_H-M 'P 4/m m m'
_symmetry_Int_Tables_number 123
_symmetry_space_group_name_Hall '-P 4 2'
loop_
_atom_site_label
_atom_site_type_symbol
_atom_site_fract_x
_atom_site_fract_y
_atom_site_fract_z
Mg1 Mg 0.000 0.000 0.000
Cu1 Cu 0.500 0.500 0.000
H1 H 0.500 0.500 0.500
Pd1 Pd 0.000 0.500 0.500
# total moment = 0.00 μB per cell
# density = 8.130 Mg/m³

=====

Q:
# PBE MgCuHPd2, optimized geometry
data_MgCuHPd2
_cell_length_a 3.952
_cell_length_b 3.952
_cell_length_c 3.997
_cell_angle_alpha 90.00
_cell_angle_beta 90.00
_cell_angle_gamma 90.00
_symmetry_space_group_name_H-M 'P 4/m m m'
_symmetry_Int_Tables_number 123
_symmetry_space_group_name_Hall '-P 4 2'
loop_
_atom_site_label
_atom_site_type_symbol
_atom_site_fract_x
_atom_site_fract_y
_atom_site_fract_z
Mg1 Mg 0.000 0.000 0.000
Cu1 Cu 0.500 0.500 0.000
H1 H 0.000 0.000 0.500
Pd1 Pd 0.000 0.500 0.500
# total moment = 0.00 μB per cell
# density = 8.023 Mg/m³

=====

The winner here is P, beating the second structure by 7.6 kJ/mol of atoms.

=====

P:
# PBE MgCuHPt2, optimized geometry
data_MgCuHPt2
_cell_length_a 4.018
_cell_length_b 4.018
_cell_length_c 3.785
_cell_angle_alpha 90.00
_cell_angle_beta 90.00
_cell_angle_gamma 90.00
_symmetry_space_group_name_H-M 'P 4/m m m'
_symmetry_Int_Tables_number 123
_symmetry_space_group_name_Hall '-P 4 2'
loop_
_atom_site_label
_atom_site_type_symbol
_atom_site_fract_x
_atom_site_fract_y
_atom_site_fract_z
Mg1 Mg 0.000 0.000 0.000
Cu1 Cu 0.500 0.500 0.000
H1 H 0.500 0.500 0.500
Pt1 Pt 0.000 0.500 0.500
# total moment = 0.00 μB per cell
# density = 13.017 Mg/m³

=====

Q:
# PBE MgCuHPt2, optimized geometry
data_MgCuHPt2
_cell_length_a 3.962
_cell_length_b 3.962
_cell_length_c 3.985
_cell_angle_alpha 90.00
_cell_angle_beta 90.00
_cell_angle_gamma 90.00
_symmetry_space_group_name_H-M 'P 4/m m m'
_symmetry_Int_Tables_number 123
_symmetry_space_group_name_Hall '-P 4 2'
loop_
_atom_site_label
_atom_site_type_symbol
_atom_site_fract_x
_atom_site_fract_y
_atom_site_fract_z
Mg1 Mg 0.000 0.000 0.000
Cu1 Cu 0.500 0.500 0.000
H1 H 0.000 0.000 0.500
Pt1 Pt 0.000 0.500 0.500
# total moment = 0.00 μB per cell
# density = 12.718 Mg/m³

=====

The winner here is P, beating the second structure by 4.9 kJ/mol of atoms.

=====

P:
# PBE Mg2CuHPt, optimized geometry
data_Mg2CuHPt
_cell_length_a 4.274
_cell_length_b 4.274
_cell_length_c 3.678
_cell_angle_alpha 90.00
_cell_angle_beta 90.00
_cell_angle_gamma 90.00
_symmetry_space_group_name_H-M 'P 4/m m m'
_symmetry_Int_Tables_number 123
_symmetry_space_group_name_Hall '-P 4 2'
loop_
_atom_site_label
_atom_site_type_symbol
_atom_site_fract_x
_atom_site_fract_y
_atom_site_fract_z
Mg1 Mg 0.000 0.500 0.000
Cu1 Cu 0.000 0.000 0.500
H1 H 0.500 0.500 0.000
Pt1 Pt 0.500 0.500 0.500
# total moment = 0.00 μB per cell
# density = 7.619 Mg/m³

=====

Q:
# PBE Mg2CuHPt, optimized geometry
data_Mg2CuHPt
_cell_length_a 4.453
_cell_length_b 4.453
_cell_length_c 3.310
_cell_angle_alpha 90.00
_cell_angle_beta 90.00
_cell_angle_gamma 90.00
_symmetry_space_group_name_H-M 'P 4/m m m'
_symmetry_Int_Tables_number 123
_symmetry_space_group_name_Hall '-P 4 2'
loop_
_atom_site_label
_atom_site_type_symbol
_atom_site_fract_x
_atom_site_fract_y
_atom_site_fract_z
Mg1 Mg 0.000 0.500 0.000
Cu1 Cu 0.000 0.000 0.500
H1 H 0.000 0.000 0.000
Pt1 Pt 0.500 0.500 0.500
# total moment = 0.00 μB per cell
# density = 7.800 Mg/m³

=====

The winner here is Q, beating the second structure by 6.2 kJ/mol of atoms.

=====

P:
# PBE MgCuHRh2, optimized geometry
data_MgCuHRh2
_cell_length_a 3.975
_cell_length_b 3.975
_cell_length_c 3.769
_cell_angle_alpha 90.00
_cell_angle_beta 90.00
_cell_angle_gamma 90.00
_symmetry_space_group_name_H-M 'P 4/m m m'
_symmetry_Int_Tables_number 123
_symmetry_space_group_name_Hall '-P 4 2'
loop_
_atom_site_label
_atom_site_type_symbol
_atom_site_fract_x
_atom_site_fract_y
_atom_site_fract_z
Mg1 Mg 0.000 0.000 0.000
Cu1 Cu 0.500 0.500 0.000
H1 H 0.500 0.500 0.500
Rh1 Rh 0.000 0.500 0.500
# total moment = 0.00 μB per cell
# density = 8.218 Mg/m³

=====

Q:
# PBE MgCuHRh2, optimized geometry
data_MgCuHRh2
_cell_length_a 3.889
_cell_length_b 3.889
_cell_length_c 3.966
_cell_angle_alpha 90.00
_cell_angle_beta 90.00
_cell_angle_gamma 90.00
_symmetry_space_group_name_H-M 'P 4/m m m'
_symmetry_Int_Tables_number 123
_symmetry_space_group_name_Hall '-P 4 2'
loop_
_atom_site_label
_atom_site_type_symbol
_atom_site_fract_x
_atom_site_fract_y
_atom_site_fract_z
Mg1 Mg 0.000 0.000 0.000
Cu1 Cu 0.500 0.500 0.000
H1 H 0.000 0.000 0.500
Rh1 Rh 0.000 0.500 0.500
# total moment = 0.32 μB per cell
# density = 8.157 Mg/m³

=====

The winner here is P, beating the second structure by 3.7 kJ/mol of atoms.

=====

P:
# PBE MgTi2CuH, optimized geometry
data_MgTi2CuH
_cell_length_a 4.051
_cell_length_b 4.051
_cell_length_c 4.073
_cell_angle_alpha 90.00
_cell_angle_beta 90.00
_cell_angle_gamma 90.00
_symmetry_space_group_name_H-M 'P 4/m m m'
_symmetry_Int_Tables_number 123
_symmetry_space_group_name_Hall '-P 4 2'
loop_
_atom_site_label
_atom_site_type_symbol
_atom_site_fract_x
_atom_site_fract_y
_atom_site_fract_z
Mg1 Mg 0.000 0.000 0.000
Ti1 Ti 0.000 0.500 0.500
Cu1 Cu 0.500 0.500 0.000
H1 H 0.500 0.500 0.500
# total moment = 0.00 μB per cell
# density = 4.585 Mg/m³

=====

Q:
# PBE MgTi2CuH, optimized geometry
data_MgTi2CuH
_cell_length_a 3.933
_cell_length_b 3.933
_cell_length_c 4.327
_cell_angle_alpha 90.00
_cell_angle_beta 90.00
_cell_angle_gamma 90.00
_symmetry_space_group_name_H-M 'P 4/m m m'
_symmetry_Int_Tables_number 123
_symmetry_space_group_name_Hall '-P 4 2'
loop_
_atom_site_label
_atom_site_type_symbol
_atom_site_fract_x
_atom_site_fract_y
_atom_site_fract_z
Mg1 Mg 0.000 0.000 0.000
Ti1 Ti 0.000 0.500 0.500
Cu1 Cu 0.500 0.500 0.000
H1 H 0.000 0.000 0.500
# total moment = 0.00 μB per cell
# density = 4.580 Mg/m³

=====

The winner here is Q, beating the second structure by 2.1 kJ/mol of atoms.